# 1
A relaxed structure of Cd5Ag6Sb. Source: the Alexandria database, functional PBE-GGA.

```
Cd5Ag6Sb
1.0
4.458 0.000 0.015
2.229 6.741 0.007
-0.027 0.000 7.995
Cd Sb Ag
5 1 6
direct
0.335 0.329 0.500
0.670 0.659 0.000
0.665 0.671 0.500
0.330 0.341 0.000
0.000 0.000 0.500
0.000 0.000 0.000
0.170 0.659 0.256
0.830 0.341 0.256
0.500 0.000 0.255
0.830 0.341 0.744
0.170 0.659 0.744
0.500 0.000 0.745
```

## Properties
Crystal system: orthorhombic

# 2
A relaxed structure of Cd6Ag5Sb. Source: the Alexandria database, functional PBE-GGA.

```
Cd6Ag5Sb
1.0
4.181 -0.019 -1.226
-2.868 7.365 -2.028
0.080 -0.463 8.146
Cd Ag Sb
6 5 1
direct
0.260 0.089 0.430
0.740 0.911 0.570
0.230 0.730 0.730
0.770 0.270 0.270
0.740 0.570 0.911
0.260 0.430 0.089
0.000 0.330 0.670
0.500 0.832 0.168
0.500 0.168 0.832
0.500 0.500 0.500
0.000 0.670 0.330
0.000 0.000 0.000
```

## Properties
Crystal system: monoclinic

# 3
A relaxed structure of CdAg3Sb. Source: the Alexandria database, functional PBE-GGA.

```
CdAg3Sb
1.0
5.558 -0.008 -0.520
0.007 5.062 -0.006
-0.681 0.011 7.813
Sb Ag Cd
2 6 2
direct
0.220 0.815 0.751
0.720 0.538 0.251
0.942 0.417 0.895
0.971 0.160 0.494
0.724 0.923 0.756
0.471 0.194 0.994
0.442 0.935 0.395
0.224 0.430 0.256
0.522 0.411 0.609
0.022 0.941 0.109
```

## Properties
Energy relative to the lowest polymorph listed for this composition (eV/atom): 0.000
Crystal system: monoclinic

# 4
A relaxed structure of CdAgSb3. Source: the Alexandria database, functional PBE-GGA.

```
CdAgSb3
1.0
-0.537 1.901 -5.019
-3.825 -3.674 -0.982
-3.765 3.461 1.714
Cd Sb Ag
1 3 1
direct
0.500 0.500 0.500
0.000 0.000 0.500
0.500 0.000 0.000
0.000 0.500 0.000
0.000 0.000 0.000
```

## Properties
Energy relative to the lowest polymorph listed for this composition (eV/atom): 0.000
Crystal system: cubic

# 5
A relaxed structure of Cd2AgSb. Source: the Alexandria database, functional PBE-GGA.

```
Cd2AgSb
1.0
-2.020 -4.721 7.634
-4.540 -5.801 5.512
-1.419 -7.308 5.406
Cd Ag Sb
2 1 1
direct
0.253 0.253 0.253
0.003 0.003 0.003
0.749 0.749 0.749
0.496 0.496 0.496
```

## Properties
Energy relative to the lowest polymorph listed for this composition (eV/atom): 0.049
Crystal system: trigonal

# 6
A relaxed structure of Cd2AgSb. Source: the Alexandria database, functional PBE-GGA.

```
Cd2AgSb
1.0
3.908 0.000 0.000
0.000 3.908 0.000
0.000 0.000 6.032
Cd Ag Sb
2 1 1
direct
0.000 0.000 0.992
0.500 0.500 0.244
0.500 0.500 0.759
0.000 0.000 0.504
```

## Properties
Energy relative to the lowest polymorph listed for this composition (eV/atom): 0.040
Crystal system: tetragonal

# 7
A relaxed structure of Cd2AgSb. Source: the Alexandria database, functional PBE-GGA.

```
Cd2AgSb
1.0
4.032 0.000 0.000
0.000 4.032 0.000
0.000 0.000 5.718
Sb Cd Ag
1 2 1
direct
0.500 0.500 0.250
0.000 0.000 0.504
0.000 0.000 0.996
0.500 0.500 0.750
```

## Properties
Energy relative to the lowest polymorph listed for this composition (eV/atom): 0.014
Crystal system: tetragonal

# 8
A relaxed structure of Cd3AgSb. Source: the Alexandria database, functional PBE-GGA.

```
Cd3AgSb
1.0
5.228 0.000 0.000
0.000 5.228 0.000
0.000 0.000 5.228
Sb Cd Ag
1 3 1
direct
0.500 0.500 0.500
0.500 0.000 0.000
0.000 0.500 0.000
0.000 0.000 0.500
0.000 0.000 0.000
```

## Properties
Energy relative to the lowest polymorph listed for this composition (eV/atom): 0.000
Crystal system: cubic

# 9
A relaxed structure of Cd2AgSb. Source: the Alexandria database, functional PBE-GGA.

```
Cd2AgSb
1.0
-3.815 4.145 1.701
-5.455 1.324 1.766
1.271 -0.629 4.802
Ag Cd Sb
1 2 1
direct
0.750 0.750 0.750
0.001 0.001 0.994
0.499 0.499 0.506
0.250 0.250 0.250
```

## Properties
Energy relative to the lowest polymorph listed for this composition (eV/atom): 0.010
Crystal system: monoclinic

# 10
A relaxed structure of Cd2AgSb. Source: the Alexandria database, functional PBE-GGA.

```
Cd2AgSb
1.0
-3.441 1.239 3.544
-4.726 1.297 -1.383
-3.890 -3.137 0.979
Sb Ag Cd
1 1 2
direct
0.500 0.500 0.500
0.000 0.000 0.000
0.250 0.250 0.250
0.750 0.750 0.750
```

## Properties
Energy relative to the lowest polymorph listed for this composition (eV/atom): 0.091
Crystal system: cubic

no.,E (eV per atom),formation energy from raw total energies (eV/atom)
1,-2.16,-0.01
2,-1.98,0.01
3,-2.67,0.05
4,-2.60,0.63
5,-2.10,0.10
6,-2.11,0.09
7,-2.14,0.06
8,-1.56,0.38
9,-2.14,0.06
10,-2.06,0.14